Computed, not measured: a relaxed Y4FeCuN2 crystal at the PBE level of DFT.

Structure (CIF):
```
data_Y4FeCuN2
_chemical_formula_sum 'Y4 Fe1 Cu1 N2'
_space_group_name_H-M_alt 'P -6 m 2'
_space_group_IT_number 187
_space_group_name_Hall 'P -6 2'
_cell_length_a 3.4829
_cell_length_b 3.4829
_cell_length_c 13.8076
_cell_angle_alpha 90.00
_cell_angle_beta 90.00
_cell_angle_gamma 120.00
loop_
_atom_site_label
_atom_site_fract_x
_atom_site_fract_y
_atom_site_fract_z
Y1 0.0000 0.0000 0.1436
Y2 0.3333 0.6667 0.3452
Fe1 0.3333 0.6667 0.0000
Cu1 0.0000 0.0000 0.5000
N1 0.6667 0.3333 0.2507
```

## Properties
Raw total energy: -7.436 eV per atom
Magnetization: 0.227 μB/atom